Record 1
VASP calculation (PBE) on crystalline Cs2PuSnO6 at its relaxed geometry.

Unit cell a=6.585 b=6.585 c=6.585 alpha=125.76 beta=125.76 gamma=80.28
Positions (direct):
Cs 0.250 0.750 0.500
Cs 0.750 0.250 0.500
Pu 0.000 0.000 0.000
Sn 0.500 0.500 0.000
O 0.187 0.187 0.000
O 0.261 0.261 0.522
O 0.261 0.739 0.000
O 0.739 0.261 0.000
O 0.739 0.739 0.478
O 0.813 0.813 0.000

## Properties
density of states at the Fermi level: 5.18 states/eV per cell
symmetry: I4/mmm



Record 2
VASP calculation (PBE) on crystalline Cs2SrPuO4 at its relaxed geometry.

Unit cell a=6.415 b=3.689 c=7.242 alpha=90.00 beta=107.98 gamma=90.00
Positions (direct):
Cs 0.000 0.000 0.000
Cs 0.500 0.500 0.000
Sr 0.000 0.500 0.500
Pu 0.500 0.000 0.500
O 0.268 0.000 0.664
O 0.299 0.500 0.329
O 0.701 0.500 0.671
O 0.732 0.000 0.336

## Properties
density of states at the Fermi level: 6.11 states/eV per cell
symmetry: P2/m



Record 3
VASP calculation (PBE) on crystalline Cs2SrPuO6 at its relaxed geometry.

Unit cell a=6.446 b=6.446 c=6.446 alpha=60.00 beta=60.00 gamma=60.00
Positions (direct):
Cs 0.250 0.250 0.250
Cs 0.750 0.750 0.750
Sr 0.000 0.000 0.000
Pu 0.500 0.500 0.500
O 0.282 0.282 0.718
O 0.282 0.718 0.282
O 0.282 0.718 0.718
O 0.718 0.282 0.282
O 0.718 0.282 0.718
O 0.718 0.718 0.282

## Properties
density of states at the Fermi level: 0.81 states/eV per cell
symmetry: Fm-3m



Record 4
VASP calculation (PBE) on crystalline Cs3SrPu2O9 at its relaxed geometry.

Unit cell a=6.341 b=6.341 c=7.802 alpha=90.00 beta=90.00 gamma=120.00
Positions (direct):
Cs 0.000 0.000 0.000
Cs 0.333 0.667 0.658
Cs 0.667 0.333 0.342
Sr 0.000 0.000 0.500
Pu 0.333 0.667 0.153
Pu 0.667 0.333 0.847
O 0.000 0.500 0.000
O 0.187 0.374 0.302
O 0.187 0.813 0.302
O 0.374 0.187 0.698
O 0.500 0.000 0.000
O 0.500 0.500 0.000
O 0.626 0.813 0.302
O 0.813 0.187 0.698
O 0.813 0.626 0.698

## Properties
density of states at the Fermi level: 6.52 states/eV per cell
symmetry: P-3m1



Record 5
VASP calculation (PBE) on crystalline CsSr2PuO6 at its relaxed geometry.

Unit cell a=6.082 b=6.673 c=10.997 alpha=90.00 beta=123.55 gamma=90.00
Positions (direct):
Cs 0.000 0.000 0.000
Cs 0.000 0.500 0.500
Sr 0.217 0.001 0.717
Sr 0.217 0.499 0.217
Sr 0.783 0.501 0.783
Sr 0.783 0.999 0.283
Pu 0.500 0.000 0.500
Pu 0.500 0.500 0.000
O 0.209 0.137 0.499
O 0.209 0.363 0.999
O 0.216 0.685 0.844
O 0.216 0.815 0.344
O 0.469 0.181 0.341
O 0.469 0.319 0.841
O 0.531 0.681 0.159
O 0.531 0.819 0.659
O 0.784 0.185 0.656
O 0.784 0.315 0.156
O 0.791 0.637 0.001
O 0.791 0.863 0.501

## Properties
symmetry: P2_1/c



Record 6
VASP calculation (PBE) on crystalline CsPuTaO6 at its relaxed geometry.

Unit cell a=7.653 b=7.653 c=7.653 alpha=121.28 beta=118.50 gamma=90.21
Positions (direct):
Cs 0.366 0.116 0.250
Cs 0.634 0.884 0.750
Pu 0.000 0.500 0.500
Pu 0.500 0.500 0.000
Ta 0.000 0.000 0.500
Ta 0.000 0.500 0.000
O 0.056 0.806 0.250
O 0.058 0.432 0.239
O 0.058 0.819 0.627
O 0.308 0.181 0.739
O 0.308 0.568 0.127
O 0.321 0.571 0.750
O 0.679 0.429 0.250
O 0.692 0.432 0.873
O 0.692 0.819 0.261
O 0.942 0.181 0.373
O 0.942 0.568 0.761
O 0.944 0.194 0.750

## Properties
density of states at the Fermi level: 9.23 states/eV per cell
symmetry: Imma



Number 1: raw formation energy -19.2 eV per formula unit. Number 2: raw formation energy -18.3 eV per formula unit. Number 3: raw formation energy -22.2 eV per formula unit. Number 4: raw formation energy -35.0 eV per formula unit. Number 5: raw formation energy -25.7 eV per formula unit. Number 6: raw formation energy -23.4 eV per formula unit.